Entry from Alexandria: LiYC after structural relaxation (GGA-PBE).

```
data_LiYC
_chemical_formula_sum 'Li2 Y2 C2'
_cell_length_a 5.490
_cell_length_b 3.517
_cell_length_c 6.057
_cell_angle_alpha 90.00
_cell_angle_beta 99.39
_cell_angle_gamma 90.00
_symmetry_space_group_name_H-M 'P 1 2/m 1'
_symmetry_Int_Tables_number 10
_symmetry_space_group_name_Hall '-P 2y'
loop_
_atom_site_label
_atom_site_type_symbol
_atom_site_fract_x
_atom_site_fract_y
_atom_site_fract_z
_atom_site_occupancy
Li1 Li 0.203 0.000 0.233 1
Y1 Y 0.281 0.500 0.672 1
C1 C 0.000 0.000 0.500 1
C2 C 0.500 0.000 0.500 1
```

- Total magnetic moment: 0.000 μB/f.u.
- Total energy: -34.5 eV per cell
- Polymorph energy (0 for the lowest one): 258 meV per atom

Entry from Alexandria: Dy2Ho8Er after structural relaxation (GGA-PBE).

```
data_Dy2Ho8Er
_chemical_formula_sum 'Dy4 Ho16 Er2'
_cell_length_a 17.056
_cell_length_b 6.667
_cell_length_c 6.420
_cell_angle_alpha 90.00
_cell_angle_beta 109.77
_cell_angle_gamma 90.00
_symmetry_space_group_name_H-M 'C 1 2/m 1'
_symmetry_Int_Tables_number 12
_symmetry_space_group_name_Hall '-C 2y'
loop_
_atom_site_label
_atom_site_type_symbol
_atom_site_fract_x
_atom_site_fract_y
_atom_site_fract_z
_atom_site_occupancy
Dy1 Dy 0.217 0.000 0.108 1
Ho1 Ho 0.059 0.000 0.247 1
Ho2 Ho 0.102 0.262 0.690 1
Ho3 Ho 0.209 0.500 0.326 1
Er1 Er 0.000 0.500 0.000 1
```

- Total magnetic moment: 0.000 μB/f.u.
- Total energy: -96.5 eV per cell
- Polymorph energy (0 for the lowest one): 24 meV per atom

Entry from Alexandria: Pm5YTm2Sc after structural relaxation (GGA-PBE).

```
data_Pm5YTm2Sc
_chemical_formula_sum 'Pm20 Y4 Tm8 Sc4'
_cell_length_a 5.335
_cell_length_b 21.779
_cell_length_c 10.183
_cell_angle_alpha 90.00
_cell_angle_beta 90.00
_cell_angle_gamma 90.00
_symmetry_space_group_name_H-M 'C m c 21'
_symmetry_Int_Tables_number 36
_symmetry_space_group_name_Hall 'C 2c -2'
loop_
_atom_site_label
_atom_site_type_symbol
_atom_site_fract_x
_atom_site_fract_y
_atom_site_fract_z
_atom_site_occupancy
Pm1 Pm 0.000 0.000 0.000 1
Pm2 Pm 0.000 0.126 0.250 1
Pm3 Pm 0.000 0.221 0.563 1
Pm4 Pm 0.000 0.221 0.939 1
Pm5 Pm 0.000 0.498 0.750 1
Y1 Y 0.000 0.101 0.750 1
Tm1 Tm 0.000 0.384 0.002 1
Tm2 Tm 0.000 0.384 0.498 1
Sc1 Sc 0.000 0.285 0.251 1
```

- Total magnetic moment: 0.000 μB/f.u.
- Total energy: -177.2 eV per cell

Entry from Alexandria: Th8HC4N3 after structural relaxation (GGA-PBE).

```
data_Th8HC4N3
_chemical_formula_sum 'Th24 H3 C12 N9'
_cell_length_a 7.4754
_cell_length_b 7.4754
_cell_length_c 18.1530
_cell_angle_alpha 90.00
_cell_angle_beta 90.00
_cell_angle_gamma 120.00
_symmetry_space_group_name_H-M 'R -3 m'
_symmetry_Int_Tables_number 166
_symmetry_space_group_name_Hall '-R 3 2"'
loop_
_atom_site_label
_atom_site_type_symbol
_atom_site_fract_x
_atom_site_fract_y
_atom_site_fract_z
_atom_site_occupancy
Th1 Th 0.0000 0.0000 0.2491 1
Th2 Th 0.0081 0.5040 0.7486 1
H1 H 0.0000 0.0000 0.5000 1
C1 C 0.0000 0.0000 0.0000 1
C2 C 0.0000 0.5000 0.0000 1
N1 N 0.0000 0.5000 0.5000 1
```

- Total magnetic moment: 0.000 μB/f.u.
- Total energy: -412.0 eV per cell

Entry from Alexandria: Sm3NiSn3 after structural relaxation (GGA-PBE).

```
data_Sm3NiSn3
_chemical_formula_sum 'Sm12 Ni4 Sn12'
_cell_length_a 11.335
_cell_length_b 4.533
_cell_length_c 15.064
_cell_angle_alpha 90.00
_cell_angle_beta 109.95
_cell_angle_gamma 90.00
_symmetry_space_group_name_H-M 'C 1 2/m 1'
_symmetry_Int_Tables_number 12
_symmetry_space_group_name_Hall '-C 2y'
loop_
_atom_site_label
_atom_site_type_symbol
_atom_site_fract_x
_atom_site_fract_y
_atom_site_fract_z
_atom_site_occupancy
Sm1 Sm 0.025 0.000 0.383 1
Sm2 Sm 0.094 0.000 0.919 1
Sm3 Sm 0.246 0.000 0.234 1
Ni1 Ni 0.244 0.500 0.392 1
Sn1 Sn 0.038 0.500 0.241 1
Sn2 Sn 0.130 0.500 0.076 1
Sn3 Sn 0.153 0.500 0.540 1
```

- Total magnetic moment: 0.000 μB/f.u.
- Total energy: -147.6 eV per cell

Entry from Alexandria: SrRe3I after structural relaxation (GGA-PBE).

```
data_SrRe3I
_chemical_formula_sum 'Sr1 Re3 I1'
_cell_length_a 4.935
_cell_length_b 4.935
_cell_length_c 4.935
_cell_angle_alpha 90.00
_cell_angle_beta 90.00
_cell_angle_gamma 90.00
_symmetry_space_group_name_H-M 'P m -3 m'
_symmetry_Int_Tables_number 221
_symmetry_space_group_name_Hall '-P 4 2 3'
loop_
_atom_site_label
_atom_site_type_symbol
_atom_site_fract_x
_atom_site_fract_y
_atom_site_fract_z
_atom_site_occupancy
Sr1 Sr 0.000 0.000 0.000 1
Re1 Re 0.000 0.500 0.500 1
I1 I 0.500 0.500 0.500 1
```

- Total magnetic moment: 2.199 μB/f.u.
- Total energy: -29.2 eV per cell
- Raw formation energy: 2.271 eV/atom
- Polymorph energy (0 for the lowest one): 0 meV per atom

> Which of these has the lowest total energy?

Th8HC4N3

> Which value of total energy does entry 1 give?

-34.5 eV per cell

> Which value of total magnetic moment does entry 2 give?

0.000 μB/f.u.

> The highest total energy belongs to which entry?

SrRe3I